Crystalline MnGeN2F at its relaxed geometry. Source: the Alexandria database, functional GGA+U.

Unit cell a=3.912 b=3.912 c=3.951 alpha=90.00 beta=90.00 gamma=90.00
Element x y z (fractional)
1 Mn 0.000 0.000 0.000
2 Ge 0.500 0.500 0.500
3 N 0.000 0.500 0.000
4 N 0.500 0.000 0.000
5 F 0.000 0.000 0.500

- N(E_F): 1.58 states/eV/f.u.
- Distance to the lowest polymorph of the same formula: 0.247 eV/atom